Entry 1:
# TmThBi (PBE, relaxed)
data_TmThBi
_chemical_formula_sum 'Tm2 Th2 Bi2'
_cell_length_a 4.545
_cell_length_b 4.545
_cell_length_c 8.891
_cell_angle_alpha 90.00
_cell_angle_beta 90.00
_cell_angle_gamma 90.00
_space_group_name_H-M_alt 'P 4/n m m'
_space_group_IT_number 129
loop_
_space_group_symop_operation_xyz
'x,y,z'
'-x,-y,-z'
'-y+1/2,x,z'
'y+1/2,-x,-z'
'-x+1/2,-y+1/2,z'
'x+1/2,y+1/2,-z'
'y,-x+1/2,z'
'-y,x+1/2,-z'
'x+1/2,-y,-z'
'-x+1/2,y,z'
'-y,-x,-z'
'y,x,z'
'-x,y+1/2,-z'
'x,-y+1/2,z'
'y+1/2,x+1/2,-z'
'-y+1/2,-x+1/2,z'
loop_
_atom_site_label
_atom_site_type_symbol
_atom_site_fract_x
_atom_site_fract_y
_atom_site_fract_z
_atom_site_occupancy
Tm1 Tm 0.250 0.750 0.000 1
Th1 Th 0.250 0.250 0.358 1
Bi1 Bi 0.250 0.250 0.735 1
# Energy relative to the lowest polymorph listed for this composition in eV/atom: 0.0000
# DFT formation energy in kcal/mol of atoms: -9.731
# N(E_F) in states/eV/f.u.: 2.8
# Total DFT energy (no corrections) in eV/atom: -5.68

=====

Entry 2:
# Ca3TiAl (PBE, relaxed)
data_Ca3TiAl
_chemical_formula_sum 'Ca3 Ti1 Al1'
_cell_length_a 5.772
_cell_length_b 5.772
_cell_length_c 5.772
_cell_angle_alpha 90.00
_cell_angle_beta 90.00
_cell_angle_gamma 90.00
_space_group_name_H-M_alt 'P m -3 m'
_space_group_IT_number 221
_space_group_name_Hall '-P 4 2 3'
loop_
_atom_site_label
_atom_site_type_symbol
_atom_site_fract_x
_atom_site_fract_y
_atom_site_fract_z
_atom_site_occupancy
Ca1 Ca 0.000 0.000 0.500 1
Ti1 Ti 0.500 0.500 0.500 1
Al1 Al 0.000 0.000 0.000 1
# Energy relative to the lowest polymorph listed for this composition in eV/atom: 0.0000
# DFT formation energy in kcal/mol of atoms: 15.023
# N(E_F) in states/eV/f.u.: 5.4
# Total DFT energy (no corrections) in eV/atom: -2.88